# NaGdCd

NaGdCd after structural relaxation (PBE-GGA, OQMD).

POSCAR file:
```
NaGdCd
1.0
1.252 -4.208 2.554
-3.088 -1.790 3.614
-2.586 -4.303 -0.772
Cd Gd Na
1 1 1
Direct
0.000 0.000 0.000
0.250 0.250 0.250
0.750 0.750 0.750
```

Summary:
V   30.89 Å³ per atom
Uncorrected energy   -2.076 eV per atom
Size of the total moment   0.08 μB/cell
Calculated density   5244 kg/m³



# NaGdCdS3

NaGdCdS3 after structural relaxation (PBE-GGA, OQMD).

POSCAR file:
```
NaGdCdS3
1.0
-8.426 5.487 4.670
-0.638 -3.090 2.480
7.565 4.834 7.971
Cd Gd Na S
4 4 4 12
Direct
0.876 0.250 0.097
0.376 0.250 0.403
0.624 0.750 0.597
0.124 0.750 0.903
0.130 0.750 0.243
0.630 0.750 0.257
0.370 0.250 0.743
0.870 0.250 0.757
0.379 0.250 0.072
0.879 0.250 0.428
0.121 0.750 0.572
0.621 0.750 0.928
0.118 0.250 0.080
0.636 0.250 0.100
0.380 0.750 0.247
0.880 0.750 0.253
0.136 0.250 0.400
0.618 0.250 0.420
0.382 0.750 0.580
0.864 0.750 0.600
0.120 0.250 0.747
0.620 0.250 0.753
0.364 0.750 0.900
0.882 0.750 0.920
```

Summary:
V   22.26 Å³ per atom
Size of the total moment   0.02 μB/cell
Energy above the most stable polymorph in this dataset   0 meV/atom
Calculated density   4835 kg/m³



# NaGdCdS3

NaGdCdS3 after structural relaxation (PBE-GGA, OQMD).

POSCAR file:
```
NaGdCdS3
1.0
-1.759 -8.660 -6.264
-4.754 -2.278 4.485
-6.685 0.060 1.794
Cd Gd Na S
2 2 2 6
Direct
0.000 0.463 0.463
0.500 0.537 0.537
0.250 0.000 0.000
0.750 0.000 0.000
0.500 0.256 0.256
0.000 0.744 0.744
0.000 0.082 0.082
0.193 0.363 0.363
0.807 0.363 0.363
0.307 0.637 0.637
0.693 0.637 0.637
0.500 0.918 0.918
```

Summary:
V   24.22 Å³ per atom
Size of the total moment   0.02 μB/cell
Energy above the most stable polymorph in this dataset   77 meV/atom
Calculated density   4444 kg/m³



# NaGdCdS3

NaGdCdS3 after structural relaxation (PBE-GGA, OQMD).

POSCAR file:
```
NaGdCdS3
1.0
7.912 0.000 0.000
0.000 4.074 0.000
-3.117 0.000 10.270
Cd Gd Na S
2 2 2 6
Direct
0.557 0.250 0.116
0.443 0.750 0.884
0.830 0.750 0.356
0.170 0.250 0.644
0.322 0.750 0.360
0.678 0.250 0.640
0.737 0.750 0.077
0.580 0.250 0.356
0.069 0.250 0.374
0.931 0.750 0.626
0.420 0.750 0.644
0.263 0.250 0.923
```

Summary:
V   27.59 Å³ per atom
Size of the total moment   0.00 μB/cell
Energy above the most stable polymorph in this dataset   36 meV/atom
Calculated density   3900 kg/m³



# NaGdCdSe3

NaGdCdSe3 after structural relaxation (PBE-GGA, OQMD).

POSCAR file:
```
NaGdCdSe3
1.0
13.900 0.000 0.000
0.000 4.201 0.000
0.000 0.000 11.376
Cd Gd Na Se
4 4 4 12
Direct
0.487 0.750 0.099
0.987 0.750 0.401
0.013 0.250 0.599
0.513 0.250 0.901
0.977 0.250 0.153
0.477 0.250 0.347
0.523 0.750 0.653
0.023 0.750 0.847
0.258 0.250 0.079
0.758 0.250 0.421
0.242 0.750 0.579
0.742 0.750 0.921
0.105 0.750 0.075
0.606 0.250 0.120
0.850 0.750 0.242
0.350 0.750 0.258
0.106 0.250 0.380
0.605 0.750 0.425
0.395 0.250 0.575
0.894 0.750 0.620
0.650 0.250 0.742
0.150 0.250 0.758
0.394 0.750 0.880
0.895 0.250 0.925
```

Summary:
V   27.68 Å³ per atom
Size of the total moment   0.02 μB/cell
Energy above the most stable polymorph in this dataset   14 meV/atom
Calculated density   5295 kg/m³



# NaGdCdSe3

NaGdCdSe3 after structural relaxation (PBE-GGA, OQMD).

POSCAR file:
```
NaGdCdSe3
1.0
-7.858 6.820 -4.108
-0.492 -2.550 -3.293
-9.633 -6.977 6.843
Cd Gd Na Se
4 4 4 12
Direct
0.737 0.750 0.219
0.237 0.750 0.281
0.763 0.250 0.719
0.263 0.250 0.781
0.987 0.250 0.241
0.487 0.250 0.259
0.513 0.750 0.741
0.013 0.750 0.759
0.717 0.250 0.006
0.217 0.250 0.494
0.783 0.750 0.506
0.283 0.750 0.994
0.923 0.750 0.105
0.540 0.750 0.117
0.237 0.250 0.160
0.737 0.250 0.340
0.040 0.750 0.383
0.423 0.750 0.395
0.577 0.250 0.605
0.960 0.250 0.617
0.263 0.750 0.660
0.763 0.750 0.840
0.460 0.250 0.883
0.077 0.250 0.895
```

Summary:
V   26.82 Å³ per atom
Size of the total moment   0.00 μB/cell
Energy above the most stable polymorph in this dataset   19 meV/atom
Calculated density   5463 kg/m³



# NaGdCdSe3

NaGdCdSe3 after structural relaxation (PBE-GGA, OQMD).

POSCAR file:
```
NaGdCdSe3
1.0
-0.393 -3.775 7.149
4.038 1.139 0.823
-5.699 14.792 7.496
Cd Gd Na Se
4 4 4 12
Direct
0.429 0.250 0.163
0.929 0.250 0.337
0.071 0.750 0.663
0.571 0.750 0.837
0.770 0.250 0.038
0.270 0.250 0.462
0.730 0.750 0.538
0.230 0.750 0.962
0.060 0.750 0.196
0.560 0.750 0.304
0.440 0.250 0.696
0.940 0.250 0.804
0.126 0.250 0.064
0.511 0.750 0.076
0.772 0.250 0.207
0.272 0.250 0.293
0.011 0.750 0.424
0.626 0.250 0.436
0.374 0.750 0.564
0.989 0.250 0.576
0.728 0.750 0.707
0.228 0.750 0.793
0.489 0.250 0.924
0.874 0.750 0.936
```

Summary:
V   25.29 Å³ per atom
Size of the total moment   0.00 μB/cell
Energy above the most stable polymorph in this dataset   54 meV/atom
Calculated density   5796 kg/m³



# NaGdCdSe3

NaGdCdSe3 after structural relaxation (PBE-GGA, OQMD).

POSCAR file:
```
NaGdCdSe3
1.0
-9.693 0.647 -8.054
0.429 -4.084 -0.845
-7.768 -2.706 9.131
Cd Gd Na Se
4 4 4 12
Direct
0.735 0.750 0.215
0.235 0.750 0.285
0.765 0.250 0.715
0.265 0.250 0.785
0.453 0.250 0.169
0.953 0.250 0.331
0.047 0.750 0.669
0.547 0.750 0.831
0.127 0.750 0.006
0.627 0.750 0.494
0.373 0.250 0.506
0.873 0.250 0.994
0.581 0.750 0.074
0.227 0.250 0.148
0.940 0.750 0.160
0.440 0.750 0.340
0.727 0.250 0.352
0.081 0.750 0.426
0.919 0.250 0.574
0.273 0.750 0.648
0.560 0.250 0.660
0.060 0.250 0.840
0.773 0.750 0.852
0.419 0.250 0.926
```

Summary:
V   27.09 Å³ per atom
Size of the total moment   0.01 μB/cell
Energy above the most stable polymorph in this dataset   20 meV/atom
Calculated density   5410 kg/m³